(1)
DFT (PBE) results for a relaxed Ac2UCuS5 crystal.

a = 8.6860 Å, b = 8.6860 Å, c = 12.4549 Å
α = 90.00°, β = 90.00°, γ = 153.11°
Atoms (fractional coordinates):
1 Ac 0.1173 0.8827 0.5000
2 Ac 0.1214 0.8786 0.1470
3 Ac 0.8786 0.1214 0.6470
4 Ac 0.8827 0.1173 0.0000
5 U 0.1806 0.8194 0.8297
6 U 0.8194 0.1806 0.3297
7 Cu 0.4486 0.5514 0.2268
8 Cu 0.5514 0.4486 0.7268
9 S 0.0222 0.9778 0.8144
10 S 0.3020 0.6980 0.4821
11 S 0.3130 0.6870 0.1748
12 S 0.3436 0.6564 0.8243
13 S 0.4938 0.5062 0.5599
14 S 0.5062 0.4938 0.0599
15 S 0.6564 0.3436 0.3243
16 S 0.6870 0.3130 0.6748
17 S 0.6980 0.3020 0.9821
18 S 0.9778 0.0222 0.3144

Output
- Raw formation energy: -1635 meV per atom

---

(2)
DFT (PBE) results for a relaxed AcUCu2S6 crystal.

a = 8.9545 Å, b = 8.9545 Å, c = 7.5802 Å
α = 111.95°, β = 111.95°, γ = 79.47°
Atoms (fractional coordinates):
1 Ac 0.0992 0.9008 0.7500
2 Ac 0.9008 0.0992 0.2500
3 U 0.2832 0.7168 0.2500
4 U 0.7168 0.2832 0.7500
5 Cu 0.2405 0.3722 0.8939
6 Cu 0.3722 0.2405 0.3939
7 Cu 0.6278 0.7595 0.6061
8 Cu 0.7595 0.6278 0.1061
9 S 0.0058 0.2253 0.7040
10 S 0.1646 0.6195 0.8686
11 S 0.2253 0.0058 0.2040
12 S 0.2949 0.4228 0.2265
13 S 0.3805 0.8354 0.6314
14 S 0.4228 0.2949 0.7265
15 S 0.5772 0.7051 0.2735
16 S 0.6195 0.1646 0.3686
17 S 0.7051 0.5772 0.7735
18 S 0.7747 0.9942 0.7960
19 S 0.8354 0.3805 0.1314
20 S 0.9942 0.7747 0.2960

Output
- Raw formation energy: -995 meV per atom

---

(3)
DFT (PBE) results for a relaxed AcU3Cu4S12 crystal.

a = 8.3957 Å, b = 8.3957 Å, c = 8.3957 Å
α = 106.13°, β = 106.13°, γ = 106.13°
Atoms (fractional coordinates):
1 Ac 0.0000 0.0000 0.0000
2 U 0.0000 0.5610 0.4390
3 U 0.4390 0.0000 0.5610
4 U 0.5610 0.4390 0.0000
5 Cu 0.0724 0.5000 0.9276
6 Cu 0.5000 0.5000 0.5000
7 Cu 0.5000 0.9276 0.0724
8 Cu 0.9276 0.0724 0.5000
9 S 0.0232 0.6608 0.7657
10 S 0.0964 0.9036 0.5000
11 S 0.2343 0.3392 0.9768
12 S 0.3387 0.6613 0.5000
13 S 0.3392 0.9768 0.2343
14 S 0.5000 0.0964 0.9036
15 S 0.5000 0.3387 0.6613
16 S 0.6613 0.5000 0.3387
17 S 0.6608 0.7657 0.0232
18 S 0.7657 0.0232 0.6608
19 S 0.9036 0.5000 0.0964
20 S 0.9768 0.2343 0.3392

Output
- Raw formation energy: -921 meV per atom

---

(4)
DFT (PBE) results for a relaxed Ac2VCu2S6 crystal.

a = 7.0304 Å, b = 7.0304 Å, c = 7.0304 Å
α = 58.99°, β = 58.99°, γ = 58.99°
Atoms (fractional coordinates):
1 Ac 0.2243 0.2243 0.2243
2 Ac 0.7757 0.7757 0.7757
3 V 0.0000 0.0000 0.0000
4 Cu 0.4158 0.4158 0.4158
5 Cu 0.5842 0.5842 0.5842
6 S 0.2187 0.7611 0.7611
7 S 0.2389 0.2389 0.7813
8 S 0.2389 0.7813 0.2389
9 S 0.7611 0.2187 0.7611
10 S 0.7611 0.7611 0.2187
11 S 0.7813 0.2389 0.2389

Output
- Raw formation energy: -1089 meV per atom

---

(5)
DFT (PBE) results for a relaxed Ac2YCu2S6 crystal.

a = 7.8584 Å, b = 7.8584 Å, c = 7.8584 Å
α = 53.27°, β = 53.27°, γ = 53.27°
Atoms (fractional coordinates):
1 Ac 0.2063 0.2063 0.2063
2 Ac 0.7937 0.7937 0.7937
3 Y 0.0000 0.0000 0.0000
4 Cu 0.4286 0.4286 0.4286
5 Cu 0.5714 0.5714 0.5714
6 S 0.2171 0.7499 0.7499
7 S 0.2501 0.2501 0.7829
8 S 0.2501 0.7829 0.2501
9 S 0.7499 0.2171 0.7499
10 S 0.7499 0.7499 0.2171
11 S 0.7829 0.2501 0.2501

Output
- Raw formation energy: -1260 meV per atom

---

(6)
DFT (PBE) results for a relaxed Ac2ZrCuS6 crystal.

a = 6.6828 Å, b = 7.4925 Å, c = 11.3751 Å
α = 90.00°, β = 124.94°, γ = 90.00°
Atoms (fractional coordinates):
1 Ac 0.2172 0.0979 0.2491
2 Ac 0.2172 0.4021 0.7491
3 Ac 0.7828 0.5979 0.2509
4 Ac 0.7828 0.9021 0.7509
5 Zr 0.5000 0.0000 0.0000
6 Zr 0.5000 0.5000 0.5000
7 Cu 0.0000 0.0000 0.5000
8 Cu 0.0000 0.5000 0.0000
9 S 0.1374 0.1799 0.9509
10 S 0.1374 0.3201 0.4509
11 S 0.2730 0.6954 0.9539
12 S 0.2730 0.8046 0.4539
13 S 0.3327 0.0179 0.7347
14 S 0.3327 0.4821 0.2347
15 S 0.6673 0.5179 0.7653
16 S 0.6673 0.9821 0.2653
17 S 0.7270 0.1954 0.5461
18 S 0.7270 0.3046 0.0461
19 S 0.8626 0.6799 0.5491
20 S 0.8626 0.8201 0.0491

Output
- Raw formation energy: -1552 meV per atom

---

(7)
DFT (PBE) results for a relaxed Ac2CuSb4 crystal.

a = 4.5426 Å, b = 4.5426 Å, c = 10.2801 Å
α = 90.00°, β = 90.00°, γ = 90.00°
Atoms (fractional coordinates):
1 Ac 0.0000 0.5000 0.2366
2 Ac 0.5000 0.0000 0.7634
3 Cu 0.5000 0.5000 0.0000
4 Sb 0.0000 0.0000 0.5000
5 Sb 0.0000 0.5000 0.8731
6 Sb 0.5000 0.0000 0.1269
7 Sb 0.5000 0.5000 0.5000

Output
- Raw formation energy: -734 meV per atom

---

(8)
DFT (PBE) results for a relaxed Ac4Cu3Sb8 crystal.

a = 4.5206 Å, b = 4.5206 Å, c = 20.9590 Å
α = 90.00°, β = 90.00°, γ = 90.00°
Atoms (fractional coordinates):
1 Ac 0.0000 0.5000 0.1168
2 Ac 0.0000 0.5000 0.6261
3 Ac 0.5000 0.0000 0.3739
4 Ac 0.5000 0.0000 0.8832
5 Cu 0.0000 0.0000 0.0000
6 Cu 0.0000 0.0000 0.5000
7 Cu 0.5000 0.5000 0.5000
8 Sb 0.0000 0.0000 0.2458
9 Sb 0.0000 0.0000 0.7542
10 Sb 0.0000 0.5000 0.4297
11 Sb 0.0000 0.5000 0.9378
12 Sb 0.5000 0.0000 0.0622
13 Sb 0.5000 0.0000 0.5703
14 Sb 0.5000 0.5000 0.2462
15 Sb 0.5000 0.5000 0.7538

Output
- Raw formation energy: -707 meV per atom

---

(9)
DFT (PBE) results for a relaxed Ac3Cu3Sb4 crystal.

a = 8.7988 Å, b = 8.7988 Å, c = 8.7988 Å
α = 109.47°, β = 109.47°, γ = 109.47°
Atoms (fractional coordinates):
1 Ac 0.1250 0.8750 0.2500
2 Ac 0.2500 0.1250 0.8750
3 Ac 0.3750 0.6250 0.7500
4 Ac 0.6250 0.7500 0.3750
5 Ac 0.7500 0.3750 0.6250
6 Ac 0.8750 0.2500 0.1250
7 Cu 0.1250 0.7500 0.8750
8 Cu 0.2500 0.6250 0.3750
9 Cu 0.3750 0.2500 0.6250
10 Cu 0.6250 0.3750 0.2500
11 Cu 0.7500 0.8750 0.1250
12 Cu 0.8750 0.1250 0.7500
13 Sb 0.0000 0.1575 0.5000
14 Sb 0.0000 0.6575 0.5000
15 Sb 0.1575 0.5000 0.0000
16 Sb 0.3425 0.3425 0.3425
17 Sb 0.5000 0.0000 0.1575
18 Sb 0.5000 0.0000 0.6575
19 Sb 0.6575 0.5000 0.0000
20 Sb 0.8425 0.8425 0.8425

Output
- Raw formation energy: -781 meV per atom

---

(10)
DFT (PBE) results for a relaxed AcCu2Sb crystal.

a = 4.6818 Å, b = 4.6818 Å, c = 4.3051 Å
α = 90.00°, β = 90.00°, γ = 90.00°
Atoms (fractional coordinates):
1 Ac 0.0000 0.0000 0.0000
2 Cu 0.0000 0.5000 0.5000
3 Cu 0.5000 0.0000 0.5000
4 Sb 0.5000 0.5000 0.0000

Output
- Raw formation energy: -86 meV per atom

---

(11)
DFT (PBE) results for a relaxed AcCuSb3 crystal.

a = 5.2135 Å, b = 5.2135 Å, c = 5.2135 Å
α = 90.00°, β = 90.00°, γ = 90.00°
Atoms (fractional coordinates):
1 Ac 0.0000 0.0000 0.0000
2 Cu 0.5000 0.5000 0.5000
3 Sb 0.0000 0.5000 0.5000
4 Sb 0.5000 0.0000 0.5000
5 Sb 0.5000 0.5000 0.0000

Output
- Raw formation energy: -253 meV per atom

---

(12)
DFT (PBE) results for a relaxed AcScCuSb crystal.

a = 5.2856 Å, b = 5.2856 Å, c = 5.2856 Å
α = 60.00°, β = 60.00°, γ = 60.00°
Atoms (fractional coordinates):
1 Ac 0.0000 0.0000 0.0000
2 Sc 0.5000 0.5000 0.5000
3 Cu 0.2500 0.2500 0.2500
4 Sb 0.7500 0.7500 0.7500

Output
- Raw formation energy: -319 meV per atom

---

(13)
DFT (PBE) results for a relaxed Ac2CuSbSe6 crystal.

a = 6.6184 Å, b = 7.8534 Å, c = 12.1176 Å
α = 90.00°, β = 121.96°, γ = 90.00°
Atoms (fractional coordinates):
1 Ac 0.1965 0.1137 0.2499
2 Ac 0.1965 0.3863 0.7499
3 Ac 0.8035 0.6137 0.2501
4 Ac 0.8035 0.8863 0.7501
5 Cu 0.0000 0.0000 0.5000
6 Cu 0.0000 0.5000 0.0000
7 Sb 0.5000 0.0000 0.0000
8 Sb 0.5000 0.5000 0.5000
9 Se 0.1166 0.1835 0.9552
10 Se 0.1166 0.3165 0.4552
11 Se 0.2721 0.6716 0.9585
12 Se 0.2721 0.8284 0.4585
13 Se 0.3346 0.9997 0.7430
14 Se 0.3346 0.5003 0.2430
15 Se 0.6654 0.0003 0.2570
16 Se 0.6654 0.4997 0.7570
17 Se 0.7279 0.1716 0.5415
18 Se 0.7279 0.3284 0.0415
19 Se 0.8834 0.6835 0.5448
20 Se 0.8834 0.8165 0.0448

Output
- Raw formation energy: -1063 meV per atom

---

(14)
DFT (PBE) results for a relaxed AcSmCuSb crystal.

a = 5.4350 Å, b = 5.4350 Å, c = 5.4350 Å
α = 60.00°, β = 60.00°, γ = 60.00°
Atoms (fractional coordinates):
1 Ac 0.0000 0.0000 0.0000
2 Sm 0.5000 0.5000 0.5000
3 Cu 0.2500 0.2500 0.2500
4 Sb 0.7500 0.7500 0.7500

Output
- Raw formation energy: -439 meV per atom

---

(15)
DFT (PBE) results for a relaxed Ac2Cu4Sn3Sb crystal.

a = 4.6351 Å, b = 4.6351 Å, c = 10.7149 Å
α = 90.00°, β = 90.00°, γ = 90.00°
Atoms (fractional coordinates):
1 Ac 0.0000 0.5000 0.2359
2 Ac 0.5000 0.0000 0.7641
3 Cu 0.0000 0.0000 0.0000
4 Cu 0.0000 0.5000 0.6335
5 Cu 0.5000 0.0000 0.3665
6 Cu 0.5000 0.5000 0.0000
7 Sn 0.0000 0.5000 0.8764
8 Sn 0.5000 0.0000 0.1236
9 Sn 0.5000 0.5000 0.5000
10 Sb 0.0000 0.0000 0.5000

Output
- Raw formation energy: -457 meV per atom

---

(16)
DFT (PBE) results for a relaxed SrAcCu2Sb2 crystal.

a = 4.5153 Å, b = 4.5153 Å, c = 9.0992 Å
α = 90.00°, β = 90.00°, γ = 120.00°
Atoms (fractional coordinates):
1 Sr 0.0000 0.0000 0.0000
2 Ac 0.0000 0.0000 0.5000
3 Cu 0.3333 0.6667 0.7295
4 Cu 0.6667 0.3333 0.2705
5 Sb 0.3333 0.6667 0.2449
6 Sb 0.6667 0.3333 0.7551

Output
- Raw formation energy: -729 meV per atom

---

(17)
DFT (PBE) results for a relaxed AcTbCuSb crystal.

a = 5.3983 Å, b = 5.3983 Å, c = 5.3983 Å
α = 60.00°, β = 60.00°, γ = 60.00°
Atoms (fractional coordinates):
1 Ac 0.0000 0.0000 0.0000
2 Tb 0.5000 0.5000 0.5000
3 Cu 0.2500 0.2500 0.2500
4 Sb 0.7500 0.7500 0.7500

Output
- Raw formation energy: -412 meV per atom

---

(18)
DFT (PBE) results for a relaxed AcTmCuSb crystal.

a = 5.3652 Å, b = 5.3652 Å, c = 5.3652 Å
α = 60.00°, β = 60.00°, γ = 60.00°
Atoms (fractional coordinates):
1 Ac 0.0000 0.0000 0.0000
2 Tm 0.5000 0.5000 0.5000
3 Cu 0.2500 0.2500 0.2500
4 Sb 0.7500 0.7500 0.7500

Output
- Raw formation energy: -365 meV per atom

---

(19)
DFT (PBE) results for a relaxed AcZnCuSb crystal.

a = 5.1229 Å, b = 5.1229 Å, c = 5.1229 Å
α = 60.00°, β = 60.00°, γ = 60.00°
Atoms (fractional coordinates):
1 Ac 0.0000 0.0000 0.0000
2 Zn 0.2500 0.2500 0.2500
3 Cu 0.7500 0.7500 0.7500
4 Sb 0.5000 0.5000 0.5000

Output
- Raw formation energy: -256 meV per atom

---

(20)
DFT (PBE) results for a relaxed AcScCu2 crystal.

a = 5.0495 Å, b = 5.0495 Å, c = 5.0495 Å
α = 60.00°, β = 60.00°, γ = 60.00°
Atoms (fractional coordinates):
1 Ac 0.0000 0.0000 0.0000
2 Sc 0.5000 0.5000 0.5000
3 Cu 0.2500 0.2500 0.2500
4 Cu 0.7500 0.7500 0.7500

Output
- DFT formation energy: -36 meV/atom
- Distance to the lowest polymorph of the same formula: 118 meV per atom